A) The following is a PBE-GGA calculation of a relaxed structure of AlZnNF2, from the Alexandria database.

a = 3.604 Å, b = 3.604 Å, c = 4.077 Å
α = 90.00°, β = 90.00°, γ = 90.00°
Sites, in units of the cell vectors:
Al (0.000, 0.000, 0.000)
F (0.500, 0.000, 0.000)
F (0.000, 0.500, 0.000)
Zn (0.500, 0.500, 0.500)
N (0.000, 0.000, 0.500)

Crystal system: tetragonal
SG: P4/mmm

B) The following is a PBE-GGA calculation of a relaxed structure of AlZnNF2, from the Alexandria database.

a = 3.792 Å, b = 3.792 Å, c = 4.366 Å
α = 90.00°, β = 90.00°, γ = 90.00°
Sites, in units of the cell vectors:
Zn (0.000, 0.000, 0.000)
F (0.000, 0.500, 0.000)
F (0.500, 0.000, 0.000)
N (0.000, 0.000, 0.500)
Al (0.500, 0.500, 0.500)

Crystal system: tetragonal
SG: P4/mmm

A) comes first in stability; the runner-up is 0.909 eV/atom higher.

A) The following is a PBE-GGA calculation of a relaxed structure of ZrAlN2F, from the Alexandria database.

a = 3.862 Å, b = 3.862 Å, c = 3.458 Å
α = 90.00°, β = 90.00°, γ = 90.00°
Sites, in units of the cell vectors:
N (0.000, 0.500, 0.000)
N (0.500, 0.000, 0.000)
F (0.000, 0.000, 0.500)
Zr (0.500, 0.500, 0.500)
Al (0.000, 0.000, 0.000)

Crystal system: tetragonal
SG: P4/mmm

B) The following is a PBE-GGA calculation of a relaxed structure of ZrAlN2F, from the Alexandria database.

a = 4.278 Å, b = 4.278 Å, c = 4.110 Å
α = 90.00°, β = 90.00°, γ = 90.00°
Sites, in units of the cell vectors:
Al (0.500, 0.500, 0.500)
Zr (0.000, 0.000, 0.000)
N (0.000, 0.500, 0.000)
N (0.500, 0.000, 0.000)
F (0.000, 0.000, 0.500)

Crystal system: tetragonal
SG: P4/mmm

A) comes first in stability; the runner-up is 0.771 eV/atom higher.

A) The following is a PBE-GGA calculation of a relaxed structure of Na2AlF, from the Alexandria database.

a = 5.038 Å, b = 5.038 Å, c = 5.038 Å
α = 60.00°, β = 60.00°, γ = 60.00°
Sites, in units of the cell vectors:
Na (0.750, 0.750, 0.750)
Na (0.250, 0.250, 0.250)
F (0.000, 0.000, 0.000)
Al (0.500, 0.500, 0.500)

Crystal system: cubic
SG: Fm-3m

B) The following is a PBE-GGA calculation of a relaxed structure of Na2AlF, from the Alexandria database.

a = 6.709 Å, b = 6.709 Å, c = 6.316 Å
α = 57.92°, β = 57.92°, γ = 90.00°
Sites, in units of the cell vectors:
Na (0.248, 0.625, 0.250)
Na (0.875, 0.752, 0.750)
Na (0.502, 0.125, 0.250)
Na (0.375, 0.498, 0.750)
F (0.250, 0.750, 0.500)
F (0.500, 0.500, 0.000)
Al (0.000, 0.000, 0.000)
Al (0.750, 0.250, 0.500)

Crystal system: tetragonal
SG: I-42d

B) comes first in stability; the runner-up is 0.499 eV/atom higher.

A) The following is a PBE-GGA calculation of a relaxed structure of Na3Al2P2O8F3, from the Alexandria database.

a = 10.483 Å, b = 6.276 Å, c = 6.277 Å
α = 89.93°, β = 90.00°, γ = 90.00°
Sites, in units of the cell vectors:
O (0.841, 0.511, 0.804)
O (0.164, 0.502, 0.199)
O (0.164, 0.803, 0.494)
O (0.841, 0.198, 0.498)
O (0.159, 0.511, 0.804)
O (0.664, 0.002, 0.699)
O (0.659, 0.698, 0.998)
O (0.664, 0.303, 0.994)
O (0.659, 0.011, 0.304)
O (0.336, 0.303, 0.994)
O (0.159, 0.198, 0.498)
O (0.336, 0.002, 0.699)
O (0.836, 0.502, 0.199)
O (0.836, 0.803, 0.494)
O (0.341, 0.698, 0.998)
O (0.341, 0.011, 0.304)
F (0.500, 0.008, 0.993)
F (0.144, 0.990, 0.012)
F (0.000, 0.509, 0.493)
F (0.856, 0.990, 0.012)
F (0.356, 0.490, 0.513)
F (0.644, 0.490, 0.513)
Na (0.000, 0.245, 0.173)
Na (0.000, 0.854, 0.747)
Na (0.500, 0.745, 0.672)
Na (0.500, 0.347, 0.249)
Na (0.000, 0.769, 0.221)
Na (0.500, 0.270, 0.723)
P (0.250, 0.005, 0.497)
P (0.750, 0.505, 0.997)
P (0.250, 0.505, 0.997)
P (0.750, 0.005, 0.497)
Al (0.820, 0.496, 0.507)
Al (0.680, 0.996, 0.007)
Al (0.180, 0.496, 0.507)
Al (0.320, 0.996, 0.007)

Crystal system: monoclinic
SG: Pm

B) The following is a PBE-GGA calculation of a relaxed structure of Na3Al2P2O8F3, from the Alexandria database.

a = 6.884 Å, b = 6.884 Å, c = 8.857 Å
α = 90.00°, β = 90.00°, γ = 99.74°
Sites, in units of the cell vectors:
F (0.247, 0.247, 0.997)
F (0.753, 0.753, 0.497)
F (0.601, 0.891, 0.005)
F (0.109, 0.399, 0.505)
F (0.891, 0.601, 0.005)
F (0.399, 0.109, 0.505)
Na (0.225, 0.225, 0.720)
Na (0.872, 0.872, 0.843)
Na (0.525, 0.525, 0.988)
Na (0.128, 0.128, 0.343)
Na (0.775, 0.775, 0.220)
Na (0.475, 0.475, 0.488)
P (0.744, 0.252, 0.750)
P (0.256, 0.748, 0.250)
P (0.252, 0.744, 0.750)
P (0.748, 0.256, 0.250)
O (0.739, 0.070, 0.351)
O (0.737, 0.062, 0.656)
O (0.244, 0.565, 0.148)
O (0.062, 0.737, 0.656)
O (0.938, 0.263, 0.156)
O (0.565, 0.244, 0.148)
O (0.070, 0.739, 0.351)
O (0.435, 0.756, 0.648)
O (0.761, 0.445, 0.348)
O (0.756, 0.435, 0.648)
O (0.261, 0.930, 0.851)
O (0.555, 0.239, 0.848)
O (0.445, 0.761, 0.348)
O (0.263, 0.938, 0.156)
O (0.930, 0.261, 0.851)
O (0.239, 0.555, 0.848)
Al (0.066, 0.425, 0.004)
Al (0.425, 0.066, 0.004)
Al (0.934, 0.575, 0.504)
Al (0.575, 0.934, 0.504)

Crystal system: orthorhombic
SG: Cmc2_1

B) comes first in stability; the runner-up is 0.007 eV/atom higher.

A) The following is a PBE-GGA calculation of a relaxed structure of Nb2Al2F, from the Alexandria database.

a = 7.865 Å, b = 7.865 Å, c = 2.884 Å
α = 90.00°, β = 90.00°, γ = 90.00°
Sites, in units of the cell vectors:
Nb (0.823, 0.323, 0.500)
Nb (0.677, 0.823, 0.500)
Nb (0.323, 0.177, 0.500)
Nb (0.177, 0.677, 0.500)
Al (0.881, 0.619, 0.000)
Al (0.119, 0.381, 0.000)
Al (0.381, 0.881, 0.000)
Al (0.619, 0.119, 0.000)
F (0.000, 0.000, 0.000)
F (0.500, 0.500, 0.000)

Crystal system: tetragonal
SG: P4/mbm

B) The following is a PBE-GGA calculation of a relaxed structure of Nb2Al2F, from the Alexandria database.

a = 3.654 Å, b = 3.654 Å, c = 7.662 Å
α = 76.20°, β = 76.20°, γ = 90.00°
Sites, in units of the cell vectors:
Nb (0.750, 0.250, 0.500)
Nb (0.250, 0.750, 0.500)
Al (0.414, 0.414, 0.172)
Al (0.586, 0.586, 0.828)
F (0.000, 0.000, 0.000)

Crystal system: tetragonal
SG: I4/mmm

A) comes first in stability; the runner-up is 0.013 eV/atom higher.

A) The following is a PBE-GGA calculation of a relaxed structure of NbAlTc2F, from the Alexandria database.

a = 4.738 Å, b = 4.738 Å, c = 5.282 Å
α = 90.00°, β = 90.00°, γ = 90.00°
Sites, in units of the cell vectors:
Al (0.000, 0.000, 0.500)
Tc (0.500, 0.000, 0.000)
Tc (0.000, 0.500, 0.000)
F (0.500, 0.500, 0.500)
Nb (0.000, 0.000, 0.000)

Crystal system: tetragonal
SG: P4/mmm

B) The following is a PBE-GGA calculation of a relaxed structure of NbAlTc2F, from the Alexandria database.

a = 4.550 Å, b = 3.542 Å, c = 4.550 Å
α = 90.00°, β = 90.00°, γ = 90.00°
Sites, in units of the cell vectors:
Tc (0.000, 0.000, 0.500)
Tc (0.500, 0.000, 0.000)
Al (0.000, 0.500, 0.000)
Nb (0.500, 0.500, 0.500)
F (0.000, 0.000, 0.000)

Crystal system: tetragonal
SG: P4/mmm

B) comes first in stability; the runner-up is 1.167 eV/atom higher.

A) The following is a PBE-GGA calculation of a relaxed structure of Nb2AlTcF, from the Alexandria database.

a = 4.806 Å, b = 4.822 Å, c = 4.806 Å
α = 90.00°, β = 90.00°, γ = 90.00°
Sites, in units of the cell vectors:
Al (0.000, 0.500, 0.000)
Nb (0.500, 0.000, 0.000)
Nb (0.000, 0.000, 0.500)
Tc (0.000, 0.000, 0.000)
F (0.500, 0.500, 0.500)

Crystal system: tetragonal
SG: P4/mmm

B) The following is a PBE-GGA calculation of a relaxed structure of Nb2AlTcF, from the Alexandria database.

a = 4.222 Å, b = 4.335 Å, c = 4.222 Å
α = 90.00°, β = 90.00°, γ = 90.00°
Sites, in units of the cell vectors:
F (0.000, 0.000, 0.000)
Nb (0.000, 0.000, 0.500)
Nb (0.500, 0.000, 0.000)
Tc (0.500, 0.500, 0.500)
Al (0.000, 0.500, 0.000)

Crystal system: tetragonal
SG: P4/mmm

B) comes first in stability; the runner-up is 0.686 eV/atom higher.

A) The following is a PBE-GGA calculation of a relaxed structure of Nd2AlF, from the Alexandria database.

a = 3.355 Å, b = 3.355 Å, c = 10.245 Å
α = 80.58°, β = 80.58°, γ = 60.00°
Sites, in units of the cell vectors:
Nd (0.103, 0.103, 0.692)
Nd (0.897, 0.897, 0.308)
F (0.500, 0.500, 0.500)
Al (0.000, 0.000, 0.000)

Crystal system: trigonal
SG: R-3m

B) The following is a PBE-GGA calculation of a relaxed structure of Nd2AlF, from the Alexandria database.

a = 3.316 Å, b = 3.316 Å, c = 7.966 Å
α = 90.00°, β = 90.00°, γ = 90.00°
Sites, in units of the cell vectors:
Nd (0.000, 0.000, 0.760)
Nd (0.000, 0.000, 0.240)
F (0.500, 0.500, 0.000)
Al (0.500, 0.500, 0.500)

Crystal system: tetragonal
SG: P4/mmm

B) comes first in stability; the runner-up is 0.343 eV/atom higher.